Entry 1:
DFT (PBE) results for an optimized crystal structure of SmBi2.

Cell and atoms, written as POSCAR:
```
SmBi2
1.0
-2.302 2.302 17.306
2.302 -2.302 17.306
2.302 2.302 -17.306
Bi Sm
8 4
Cartesian
0.000 0.000 8.655
0.000 0.000 14.167
0.000 0.000 20.446
0.000 0.000 25.958
0.000 2.302 -0.001
2.302 0.000 0.001
2.302 0.000 5.514
2.302 0.000 11.792
0.000 0.000 2.570
0.000 0.000 32.043
0.000 2.302 6.083
0.000 2.302 11.223
```

Properties
raw total energy	-14.55	eV per formula unit
total magnetization	0.000	μB per atom
symmetry	I4_1/amd (141)

Entry 2:
DFT (PBE) results for an optimized crystal structure of LaNdSbI2.

Cell and atoms, written as POSCAR:
```
LaNdSbI2
1.0
4.523 0.000 0.000
-2.262 3.917 0.000
0.000 0.000 11.621
I La Nd Sb
2 1 1 1
Cartesian
0.000 0.000 3.763
0.000 2.612 7.808
0.000 0.000 9.845
0.000 2.612 1.785
2.262 1.306 0.041
```

Properties
raw total energy	-23.82	eV per formula unit
total magnetization	0.001	μB per atom
symmetry	P3m1 (156)

Entry 3:
DFT (PBE) results for an optimized crystal structure of CuMo4AuC2.

Cell and atoms, written as POSCAR:
```
CuMo4AuC2
1.0
-0.967 -1.273 -2.646
2.991 -0.120 0.770
-2.068 -11.422 6.253
Au C Cu Mo
1 2 1 4
Cartesian
0.638 -6.216 2.758
-0.498 -2.752 1.506
-1.570 -8.671 4.747
0.353 -0.889 -1.507
1.350 -2.282 0.605
-0.320 -4.606 0.528
-1.043 -8.594 2.711
-0.074 -10.149 4.912
```

Properties
raw total energy	-68.03	eV per formula unit
total magnetization	0.000	μB per atom
symmetry	P-6m2 (187)

Entry 4:
DFT (PBE) results for an optimized crystal structure of Tl2Pd2S3.

Cell and atoms, written as POSCAR:
```
Tl2Pd2S3
1.0
1.846 -5.141 -1.779
5.132 1.080 -2.344
3.758 -1.619 4.031
Pd S Tl
2 3 2
Cartesian
2.853 -1.509 -0.024
7.883 -4.170 -0.068
0.923 -2.570 -0.890
2.566 0.540 -1.172
1.879 -0.810 2.016
0.000 0.000 0.000
5.368 -2.840 -0.046
```

Properties
raw total energy	-27.13	eV per formula unit
polymorph energy (0 for the lowest one)	319.6	meV/atom
symmetry	R-3m (166)

Entry 5:
DFT (PBE) results for an optimized crystal structure of CsScTcSe3.

Cell and atoms, written as POSCAR:
```
CsScTcSe3
1.0
2.133 -8.165 0.000
2.133 8.165 0.000
0.000 0.000 9.195
Cs Sc Se Tc
2 2 6 2
Cartesian
2.133 4.425 2.299
2.133 -4.425 6.896
2.133 0.089 2.299
2.133 -0.089 6.896
2.133 -1.606 0.327
2.133 -6.738 2.299
2.133 -1.606 4.270
2.133 1.606 4.925
2.133 6.738 6.896
2.133 1.606 8.868
0.000 0.000 0.000
0.000 0.000 4.598
```

Properties
raw total energy	-33.79	eV per formula unit
total magnetization	0.151	μB per atom
polymorph energy (0 for the lowest one)	33.0	meV/atom
symmetry	Cmcm (63)

Entry 6:
DFT (PBE) results for an optimized crystal structure of KAuCl2.

Cell and atoms, written as POSCAR:
```
KAuCl2
1.0
2.485 1.435 7.256
-2.485 1.435 7.256
0.000 -2.870 7.256
Au Cl K
1 2 1
Cartesian
0.000 0.000 0.000
0.000 0.000 2.292
0.000 0.000 19.476
0.000 0.000 10.884
```

Properties
raw total energy	-12.50	eV per formula unit
symmetry	R-3m (166)